Record 1
# TiVGe2 GGA-PBE optimized geometry
# DOS at the Fermi energy: 3.7 states/eV/f.u.
# calculated formation energy: -0.049 eV per atom
# E_tot: -6.61 eV per atom
data_TiVGe2
_chemical_formula_sum 'Ti4 V4 Ge8'
_symmetry_space_group_name_H-M 'I -4 2 d'
_symmetry_Int_Tables_number 122
_symmetry_space_group_name_Hall 'I -4 2bw'
_cell_length_a 6.852
_cell_length_b 6.852
_cell_length_c 5.584
_cell_angle_alpha 90.00
_cell_angle_beta 90.00
_cell_angle_gamma 90.00
loop_
_atom_site_label
_atom_site_type_symbol
_atom_site_fract_x
_atom_site_fract_y
_atom_site_fract_z
Ti1 Ti 0.000 0.000 0.000
V1 V 0.000 0.000 0.500
Ge1 Ge 0.240 0.250 0.625

Record 2
# MgBRuPt2 GGA-PBE optimized geometry
# DOS at the Fermi energy: 3.9 states/eV/f.u.
# calculated formation energy: -0.359 eV per atom
# E_tot: -6.28 eV per atom
data_MgBRuPt2
_chemical_formula_sum 'Mg1 B1 Ru1 Pt2'
_symmetry_space_group_name_H-M 'P 4/m m m'
_symmetry_Int_Tables_number 123
_symmetry_space_group_name_Hall '-P 4 2'
_cell_length_a 4.184
_cell_length_b 4.184
_cell_length_c 4.132
_cell_angle_alpha 90.00
_cell_angle_beta 90.00
_cell_angle_gamma 90.00
loop_
_atom_site_label
_atom_site_type_symbol
_atom_site_fract_x
_atom_site_fract_y
_atom_site_fract_z
Mg1 Mg 0.000 0.000 0.000
B1 B 0.500 0.500 0.500
Ru1 Ru 0.500 0.500 0.000
Pt1 Pt 0.000 0.500 0.500

Record 3
# FeSnN3 GGA-PBE optimized geometry
# DOS at the Fermi energy: 5.7 states/eV/f.u.
# raw formation energy: 1.07 eV per atom
# E_tot: -6.41 eV per atom
data_FeSnN3
_chemical_formula_sum 'Fe1 Sn1 N3'
_symmetry_space_group_name_H-M 'P m -3 m'
_symmetry_Int_Tables_number 221
_symmetry_space_group_name_Hall '-P 4 2 3'
_cell_length_a 3.769
_cell_length_b 3.769
_cell_length_c 3.769
_cell_angle_alpha 90.00
_cell_angle_beta 90.00
_cell_angle_gamma 90.00
loop_
_atom_site_label
_atom_site_type_symbol
_atom_site_fract_x
_atom_site_fract_y
_atom_site_fract_z
Fe1 Fe 0.000 0.000 0.000
Sn1 Sn 0.500 0.500 0.500
N1 N 0.000 0.000 0.500